1.
{
  "formula": "Ce2HoOs",
  "functional": "GGA-PBE",
  "state": "optimized geometry",
  "lattice": [[3.704, 0.000, 0.000], [0.000, 3.704, 0.000], [0.000, 0.000, 7.353]],
  "species": ["Os", "Ho", "Ce", "Ce"],
  "fractional_positions": [[0.500, 0.500, 0.000], [0.500, 0.500, 0.500], [0.000, 0.000, 0.806], [0.000, 0.000, 0.194]],
  "formation_energy_mev_per_atom": 30.0,
  "spacegroup": "P4/mmm (123)",
  "m_tot_mub_per_atom": 0.001,
  "polymorph_energy_kj_per_mol_fu": 69,
  "n_ef_per_ev_atom": 2.2912
}

2.
{
  "formula": "Cs2Bi4Au5",
  "functional": "GGA-PBE",
  "state": "optimized geometry",
  "lattice": [[-6.760, 2.129, -3.597], [-4.631, -5.237, -3.178], [-7.041, 0.375, 4.672]],
  "species": ["Cs", "Cs", "Bi", "Bi", "Bi", "Bi", "Au", "Au", "Au", "Au", "Au"],
  "fractional_positions": [[0.858, 0.000, 0.284], [0.142, 0.000, 0.716], [0.449, 0.343, 0.759], [0.551, 0.657, 0.241], [0.208, 0.343, 0.241], [0.792, 0.657, 0.759], [0.500, 0.000, 0.000], [0.000, 0.500, 0.000], [0.500, 0.500, 0.000], [0.250, 0.500, 0.500], [0.750, 0.500, 0.500]],
  "formation_energy_mev_per_atom": -156.9,
  "spacegroup": "Fmmm (69)",
  "m_tot_mub_per_atom": 0.000,
  "n_ef_per_ev_atom": 0.4654
}

3.
{
  "formula": "Mg3MnTl",
  "functional": "GGA-PBE",
  "state": "optimized geometry",
  "lattice": [[-2.061, 2.487, 4.223], [-2.146, -4.577, 1.648], [4.406, -1.066, 2.778]],
  "species": ["Tl", "Mn", "Mg", "Mg", "Mg"],
  "fractional_positions": [[0.000, 0.000, 0.000], [0.500, 0.500, 0.500], [0.000, 0.500, 0.000], [0.000, 0.000, 0.500], [0.500, 0.000, 0.000]],
  "formation_energy_mev_per_atom": 730.1,
  "spacegroup": "Pm-3m (221)",
  "m_tot_mub_per_atom": 0.845,
  "polymorph_energy_kj_per_mol_fu": 96,
  "n_ef_per_ev_atom": 0.7230
}

4.
{
  "formula": "Sb2MoSeCl",
  "functional": "GGA-PBE",
  "state": "optimized geometry",
  "lattice": [[-0.238, -4.410, 2.951], [2.867, -2.096, -2.901], [4.139, 1.695, 2.866]],
  "species": ["Sb", "Sb", "Mo", "Se", "Cl"],
  "fractional_positions": [[0.000, 0.000, 0.500], [0.500, 0.000, 0.000], [0.000, 0.000, 0.000], [0.500, 0.500, 0.500], [0.000, 0.500, 0.000]],
  "spacegroup": "P4/mmm (123)",
  "m_tot_mub_per_atom": 0.000,
  "n_ef_per_ev_atom": 0.4653,
  "formation_energy_uncorrected_kj_per_mol_atoms": 21
}